a:
The following is a PBE-GGA calculation of crystalline ZrTlI2O at its relaxed geometry, from Alexandria.

abc: 6.1670 6.1670 4.0538
angles: 90.00 90.00 90.00
With the nearest neighbours (Å) after each atom.
Element x y z (fractional)
I 0.0000 0.5000 0.0000  2 Tl 3.08
I 0.5000 0.0000 0.0000  2 Tl 3.08
Tl 0.0000 0.0000 0.0000  2 O 2.03
O 0.0000 0.0000 0.5000  2 Tl 2.03
Zr 0.5000 0.5000 0.5000  8 I 3.69, 2 Zr 4.05

---

b:
The following is a PBE-GGA calculation of crystalline ZrTlI2O at its relaxed geometry, from Alexandria.

abc: 6.1023 6.1023 4.0695
angles: 90.00 90.00 90.00
With the nearest neighbours (Å) after each atom.
Element x y z (fractional)
I 0.0000 0.5000 0.0000  2 Zr 3.05
I 0.5000 0.0000 0.0000  2 Zr 3.05
Tl 0.5000 0.5000 0.5000  8 I 3.67, 2 Tl 4.07
O 0.0000 0.0000 0.5000  2 Zr 2.03
Zr 0.0000 0.0000 0.0000  2 O 2.03

---

Tell me which of them is the most stable. Sure, it is b.